{"formula": "AcAgHg", "functional": "PBE", "state": "optimized geometry", "cell": [[5.0133, 0.0000, 0.0000], [-2.5066, 4.3416, 0.0000], [0.0000, 0.0000, 3.8683]], "species": ["Ac", "Ag", "Hg"], "frac_coords": [[0.0000, 0.0000, 0.0000], [0.3333, 0.6667, 0.5000], [0.6667, 0.3333, 0.5000]], "de_polymorph_kj_per_mol_atoms": 0.0, "vol_a3_per_cell": 84.2, "crystal_system": "hexagonal", "density_g_cm3": 10.56, "total_magnetization_mub_per_cell": 0.01, "delta_e_f_mev_per_atom": -420.3, "total_energy_ev_per_atom": -2.8296}

---

{"formula": "Ac2Ag3Hg3O12", "functional": "PBE", "state": "optimized geometry", "cell": [[-6.7436, 6.7436, 6.7436], [6.7436, -6.7436, 6.7436], [6.7436, 6.7436, -6.7436]], "species": ["Ac", "Ac", "Ac", "Ac", "Ac", "Ac", "Ac", "Ac", "Ag", "Ag", "Ag", "Ag", "Ag", "Ag", "Ag", "Ag", "Ag", "Ag", "Ag", "Ag", "Hg", "Hg", "Hg", "Hg", "Hg", "Hg", "Hg", "Hg", "Hg", "Hg", "Hg", "Hg", "O", "O", "O", "O", "O", "O", "O", "O", "O", "O", "O", "O", "O", "O", "O", "O", "O", "O", "O", "O", "O", "O", "O", "O", "O", "O", "O", "O", "O", "O", "O", "O", "O", "O", "O", "O", "O", "O", "O", "O", "O", "O", "O", "O", "O", "O", "O", "O"], "frac_coords": [[0.0000, 0.0000, 0.0000], [0.0000, 0.0000, 0.5000], [0.0000, 0.5000, 0.0000], [0.0000, 0.5000, 0.5000], [0.5000, 0.0000, 0.0000], [0.5000, 0.0000, 0.5000], [0.5000, 0.5000, 0.0000], [0.5000, 0.5000, 0.5000], [0.1250, 0.2500, 0.3750], [0.1250, 0.3750, 0.7500], [0.2500, 0.3750, 0.1250], [0.2500, 0.8750, 0.6250], [0.3750, 0.1250, 0.2500], [0.3750, 0.7500, 0.1250], [0.6250, 0.2500, 0.8750], [0.6250, 0.8750, 0.7500], [0.7500, 0.1250, 0.3750], [0.7500, 0.6250, 0.8750], [0.8750, 0.6250, 0.2500], [0.8750, 0.7500, 0.6250], [0.1250, 0.7500, 0.8750], [0.1250, 0.8750, 0.2500], [0.2500, 0.1250, 0.8750], [0.2500, 0.6250, 0.3750], [0.3750, 0.2500, 0.6250], [0.3750, 0.6250, 0.7500], [0.6250, 0.3750, 0.2500], [0.6250, 0.7500, 0.3750], [0.7500, 0.3750, 0.6250], [0.7500, 0.8750, 0.1250], [0.8750, 0.1250, 0.7500], [0.8750, 0.2500, 0.1250], [0.0643, 0.2449, 0.1314], [0.0643, 0.3194, 0.9329], [0.0671, 0.6314, 0.3865], [0.0671, 0.9357, 0.6806], [0.1135, 0.7449, 0.6806], [0.1135, 0.8686, 0.4329], [0.1314, 0.0643, 0.2449], [0.1314, 0.5671, 0.8865], [0.1806, 0.2449, 0.6135], [0.1806, 0.4357, 0.5671], [0.2449, 0.1314, 0.0643], [0.2449, 0.6135, 0.1806], [0.2551, 0.3194, 0.8865], [0.2551, 0.4357, 0.3686], [0.3194, 0.8865, 0.2551], [0.3194, 0.9329, 0.0643], [0.3686, 0.2551, 0.4357], [0.3686, 0.6135, 0.9329], [0.3865, 0.0671, 0.6314], [0.3865, 0.8194, 0.7551], [0.4329, 0.1135, 0.8686], [0.4329, 0.8194, 0.5643], [0.4357, 0.3686, 0.2551], [0.4357, 0.5671, 0.1806], [0.5643, 0.4329, 0.8194], [0.5643, 0.6314, 0.7449], [0.5671, 0.1806, 0.4357], [0.5671, 0.8865, 0.1314], [0.6135, 0.1806, 0.2449], [0.6135, 0.9329, 0.3686], [0.6314, 0.3865, 0.0671], [0.6314, 0.7449, 0.5643], [0.6806, 0.0671, 0.9357], [0.6806, 0.1135, 0.7449], [0.7449, 0.5643, 0.6314], [0.7449, 0.6806, 0.1135], [0.7551, 0.3865, 0.8194], [0.7551, 0.8686, 0.9357], [0.8194, 0.5643, 0.4329], [0.8194, 0.7551, 0.3865], [0.8686, 0.4329, 0.1135], [0.8686, 0.9357, 0.7551], [0.8865, 0.1314, 0.5671], [0.8865, 0.2551, 0.3194], [0.9329, 0.0643, 0.3194], [0.9329, 0.3686, 0.6135], [0.9357, 0.6806, 0.0671], [0.9357, 0.7551, 0.8686]], "de_polymorph_kj_per_mol_atoms": 9.9, "vol_a3_per_cell": 1226.7, "crystal_system": "cubic", "density_g_cm3": 8.51, "total_magnetization_mub_per_cell": 0.47, "total_energy_ev_per_atom": -4.2870}

---

{"formula": "Ac2Ag3Hg3O12", "functional": "PBE", "state": "optimized geometry", "cell": [[-6.8938, 6.8938, 6.8938], [6.8938, -6.8938, 6.8938], [6.8938, 6.8938, -6.8938]], "species": ["Ac", "Ac", "Ac", "Ac", "Ac", "Ac", "Ac", "Ac", "Ag", "Ag", "Ag", "Ag", "Ag", "Ag", "Ag", "Ag", "Ag", "Ag", "Ag", "Ag", "Hg", "Hg", "Hg", "Hg", "Hg", "Hg", "Hg", "Hg", "Hg", "Hg", "Hg", "Hg", "O", "O", "O", "O", "O", "O", "O", "O", "O", "O", "O", "O", "O", "O", "O", "O", "O", "O", "O", "O", "O", "O", "O", "O", "O", "O", "O", "O", "O", "O", "O", "O", "O", "O", "O", "O", "O", "O", "O", "O", "O", "O", "O", "O", "O", "O", "O", "O"], "frac_coords": [[0.0000, 0.0000, 0.0000], [0.0000, 0.0000, 0.5000], [0.0000, 0.5000, 0.0000], [0.0000, 0.5000, 0.5000], [0.5000, 0.0000, 0.0000], [0.5000, 0.0000, 0.5000], [0.5000, 0.5000, 0.0000], [0.5000, 0.5000, 0.5000], [0.1250, 0.7500, 0.8750], [0.1250, 0.8750, 0.2500], [0.2500, 0.1250, 0.8750], [0.2500, 0.6250, 0.3750], [0.3750, 0.2500, 0.6250], [0.3750, 0.6250, 0.7500], [0.6250, 0.3750, 0.2500], [0.6250, 0.7500, 0.3750], [0.7500, 0.3750, 0.6250], [0.7500, 0.8750, 0.1250], [0.8750, 0.1250, 0.7500], [0.8750, 0.2500, 0.1250], [0.1250, 0.2500, 0.3750], [0.1250, 0.3750, 0.7500], [0.2500, 0.3750, 0.1250], [0.2500, 0.8750, 0.6250], [0.3750, 0.1250, 0.2500], [0.3750, 0.7500, 0.1250], [0.6250, 0.2500, 0.8750], [0.6250, 0.8750, 0.7500], [0.7500, 0.1250, 0.3750], [0.7500, 0.6250, 0.8750], [0.8750, 0.6250, 0.2500], [0.8750, 0.7500, 0.6250], [0.0352, 0.2175, 0.1527], [0.0352, 0.3177, 0.8825], [0.0648, 0.7175, 0.6823], [0.0648, 0.8473, 0.3825], [0.1175, 0.6527, 0.4352], [0.1175, 0.9648, 0.6823], [0.1527, 0.0352, 0.2175], [0.1527, 0.6175, 0.9352], [0.1823, 0.2175, 0.5648], [0.1823, 0.4648, 0.6175], [0.2175, 0.1527, 0.0352], [0.2175, 0.5648, 0.1823], [0.2825, 0.3177, 0.9352], [0.2825, 0.4648, 0.3473], [0.3177, 0.8825, 0.0352], [0.3177, 0.9352, 0.2825], [0.3473, 0.2825, 0.4648], [0.3473, 0.5648, 0.8825], [0.3825, 0.0648, 0.8473], [0.3825, 0.8177, 0.5352], [0.4352, 0.1175, 0.6527], [0.4352, 0.8177, 0.7825], [0.4648, 0.3473, 0.2825], [0.4648, 0.6175, 0.1823], [0.5352, 0.3825, 0.8177], [0.5352, 0.6527, 0.7175], [0.5648, 0.1823, 0.2175], [0.5648, 0.8825, 0.3473], [0.6175, 0.1823, 0.4648], [0.6175, 0.9352, 0.1527], [0.6527, 0.4352, 0.1175], [0.6527, 0.7175, 0.5352], [0.6823, 0.0648, 0.7175], [0.6823, 0.1175, 0.9648], [0.7175, 0.5352, 0.6527], [0.7175, 0.6823, 0.0648], [0.7825, 0.4352, 0.8177], [0.7825, 0.8473, 0.9648], [0.8177, 0.5352, 0.3825], [0.8177, 0.7825, 0.4352], [0.8473, 0.3825, 0.0648], [0.8473, 0.9648, 0.7825], [0.8825, 0.0352, 0.3177], [0.8825, 0.3473, 0.5648], [0.9352, 0.1527, 0.6175], [0.9352, 0.2825, 0.3177], [0.9648, 0.6823, 0.1175], [0.9648, 0.7825, 0.8473]], "de_polymorph_kj_per_mol_atoms": 0.0, "vol_a3_per_cell": 1310.5, "crystal_system": "cubic", "density_g_cm3": 7.96, "total_magnetization_mub_per_cell": 7.78, "total_energy_ev_per_atom": -4.3898}

---

{"formula": "Ac2In5Ag3", "functional": "PBE", "state": "optimized geometry", "cell": [[-5.9877, 6.6214, 3.3311], [5.9877, -6.6214, 3.3311], [5.9877, 6.6214, -3.3311]], "species": ["Ac", "Ac", "Ac", "Ac", "In", "In", "In", "In", "In", "In", "In", "In", "In", "In", "Ag", "Ag", "Ag", "Ag", "Ag", "Ag"], "frac_coords": [[0.1287, 0.2466, 0.3753], [0.3713, 0.7466, 0.1179], [0.6287, 0.2534, 0.8821], [0.8713, 0.7534, 0.6247], [0.0022, 0.7500, 0.2522], [0.1140, 0.6417, 0.7557], [0.2500, 0.2500, 0.0000], [0.3860, 0.1417, 0.5277], [0.4978, 0.7500, 0.7478], [0.5022, 0.2500, 0.2522], [0.6140, 0.8583, 0.4723], [0.7500, 0.7500, 0.0000], [0.8860, 0.3583, 0.2443], [0.9978, 0.2500, 0.7478], [0.1264, 0.8676, 0.9940], [0.2500, 0.7500, 0.5000], [0.3736, 0.3676, 0.7411], [0.6264, 0.6324, 0.2589], [0.7500, 0.2500, 0.5000], [0.8736, 0.1324, 0.0060]], "vol_a3_per_cell": 528.3, "crystal_system": "orthorhombic", "density_g_cm3": 8.50, "total_magnetization_mub_per_cell": 0.00, "total_energy_ev_per_atom": -3.3953}

---

{"formula": "AcAgIr", "functional": "PBE", "state": "optimized geometry", "cell": [[7.0046, 0.0000, 0.0000], [0.0000, 7.0046, 0.0000], [0.0000, 0.0000, 7.0046]], "species": ["Ac", "Ac", "Ac", "Ac", "Ag", "Ag", "Ag", "Ag", "Ir", "Ir", "Ir", "Ir"], "frac_coords": [[0.0000, 0.0000, 0.0000], [0.0000, 0.5000, 0.5000], [0.5000, 0.0000, 0.5000], [0.5000, 0.5000, 0.0000], [0.2500, 0.2500, 0.7500], [0.2500, 0.7500, 0.2500], [0.7500, 0.2500, 0.2500], [0.7500, 0.7500, 0.7500], [0.2500, 0.2500, 0.2500], [0.2500, 0.7500, 0.7500], [0.7500, 0.2500, 0.7500], [0.7500, 0.7500, 0.2500]], "de_polymorph_kj_per_mol_atoms": 31.6, "vol_a3_per_cell": 343.7, "crystal_system": "cubic", "density_g_cm3": 10.19, "total_magnetization_mub_per_cell": 0.00, "delta_e_f_mev_per_atom": 421.4, "total_energy_ev_per_atom": -4.8403}

---

{"formula": "AcAgIr", "functional": "PBE", "state": "optimized geometry", "cell": [[6.7915, 0.0000, 0.0000], [0.0000, 6.7915, 0.0000], [0.0000, 0.0000, 6.7915]], "species": ["Ac", "Ac", "Ac", "Ac", "Ag", "Ag", "Ag", "Ag", "Ir", "Ir", "Ir", "Ir"], "frac_coords": [[0.0000, 0.0000, 0.0000], [0.0000, 0.5000, 0.5000], [0.5000, 0.0000, 0.5000], [0.5000, 0.5000, 0.0000], [0.2500, 0.2500, 0.2500], [0.2500, 0.7500, 0.7500], [0.7500, 0.2500, 0.7500], [0.7500, 0.7500, 0.2500], [0.0000, 0.0000, 0.5000], [0.0000, 0.5000, 0.0000], [0.5000, 0.0000, 0.0000], [0.5000, 0.5000, 0.5000]], "de_polymorph_kj_per_mol_atoms": 0.0, "vol_a3_per_cell": 313.3, "crystal_system": "cubic", "density_g_cm3": 11.18, "total_magnetization_mub_per_cell": 0.00, "delta_e_f_mev_per_atom": 93.9, "total_energy_ev_per_atom": -5.1679}

---

{"formula": "KAcAg", "functional": "PBE", "state": "optimized geometry", "cell": [[7.8458, 0.0000, 0.0000], [0.0000, 7.8458, 0.0000], [0.0000, 0.0000, 7.8458]], "species": ["K", "K", "K", "K", "Ac", "Ac", "Ac", "Ac", "Ag", "Ag", "Ag", "Ag"], "frac_coords": [[0.0000, 0.0000, 0.0000], [0.0000, 0.5000, 0.5000], [0.5000, 0.0000, 0.5000], [0.5000, 0.5000, 0.0000], [0.0000, 0.0000, 0.5000], [0.0000, 0.5000, 0.0000], [0.5000, 0.0000, 0.0000], [0.5000, 0.5000, 0.5000], [0.2500, 0.2500, 0.7500], [0.2500, 0.7500, 0.2500], [0.7500, 0.2500, 0.2500], [0.7500, 0.7500, 0.7500]], "de_polymorph_kj_per_mol_atoms": 0.0, "vol_a3_per_cell": 483.0, "crystal_system": "cubic", "density_g_cm3": 5.14, "total_magnetization_mub_per_cell": 0.16, "total_energy_ev_per_atom": -2.4477}

---

{"formula": "Li2AcAg2", "functional": "PBE", "state": "optimized geometry", "cell": [[4.2669, 0.0000, 0.0000], [0.0000, 4.2669, 0.0000], [0.0000, 0.0000, 12.8892]], "species": ["Li", "Li", "Li", "Li", "Ac", "Ac", "Ag", "Ag", "Ag", "Ag"], "frac_coords": [[0.0000, 0.5000, 0.2500], [0.0000, 0.5000, 0.7500], [0.5000, 0.0000, 0.2500], [0.5000, 0.0000, 0.7500], [0.0000, 0.0000, 0.0000], [0.5000, 0.5000, 0.5000], [0.0000, 0.0000, 0.3869], [0.0000, 0.0000, 0.6131], [0.5000, 0.5000, 0.1131], [0.5000, 0.5000, 0.8869]], "vol_a3_per_cell": 234.7, "crystal_system": "tetragonal", "density_g_cm3": 6.46, "total_magnetization_mub_per_cell": 0.04, "total_energy_ev_per_atom": -2.9468}